The following is a PBE calculation of a relaxed structure of Pm2AsI, from the Alexandria database.

Structure (POSCAR):
```
Pm2AsI
1.0
3.7515 0.0000 0.0000
0.0000 3.7515 0.0000
0.0000 0.0000 7.7122
Pm As I
2 1 1
Cartesian
0.0000 0.0000 1.6719 Pm
0.0000 0.0000 6.0403 Pm
1.8758 1.8758 0.0000 As
1.8758 1.8758 3.8561 I
```

Results
total moment = 0.98 μB/cell
formation energy without anion corrections = -1025 meV per atom
distance to the lowest polymorph of the same formula = 0.272 eV per atom
volume = 27.14 A^3/atom
electronic total energy = -0.36387 Ry/atom